Computed, not measured: a relaxed NaTlCoF4 crystal at the GGA+U level of DFT.

Crystal system: monoclinic
Space-group type: P2_1/m (11)
D(E_F), states/eV per cell: 0.00
E, eV/atom: -4.47

Geometry as POSCAR:
```
NaTlCoF4
1.0
-4.531 1.645 -3.194
-3.379 -3.946 2.761
1.588 3.831 7.417
Na Tl Co F
2 2 2 8
direct
0.784 0.750 0.467
0.216 0.250 0.533
0.494 0.750 0.870
0.506 0.250 0.130
0.170 0.750 0.311
0.830 0.250 0.689
0.062 0.492 0.694
0.938 0.992 0.306
0.938 0.508 0.306
0.062 0.008 0.694
0.363 0.750 0.183
0.637 0.250 0.817
0.471 0.750 0.561
0.529 0.250 0.439
```